This record from the Alexandria database describes a geometry-optimized Dy4Ir2O structure. The functional is PBE.

Computed properties:
For the total magnetic moment, the calculation gives 0.00 μB per formula unit. As for the space group: No. 139. The value obtained for the total energy is -50.14 eV/f.u. For the uncorrected formation energy, the calculation gives -1.2929 eV/atom.

Unit cell a=4.531 b=4.531 c=8.006 alpha=106.44 beta=106.44 gamma=90.00
Fractional positions:
Ir1 0.630 0.630 0.261
Ir2 0.370 0.370 0.739
O1 0.000 0.000 0.000
Dy1 0.817 0.817 0.634
Dy2 0.183 0.183 0.366
Dy3 0.000 0.500 0.000
Dy4 0.500 0.000 0.000